(1)
# Cr2InTc PBE relaxed
data_Cr2InTc
_chemical_formula_sum 'Cr4 In2 Tc2'
_cell_length_a 3.0382
_cell_length_b 4.5835
_cell_length_c 8.5417
_cell_angle_alpha 90.00
_cell_angle_beta 90.00
_cell_angle_gamma 90.00
_space_group_name_H-M_alt 'C m m 2'
_space_group_IT_number 35
_space_group_name_Hall 'C 2 -2'
loop_
_atom_site_label
_atom_site_type_symbol
_atom_site_fract_x
_atom_site_fract_y
_atom_site_fract_z
Cr1 Cr 0.0000 0.0000 0.0000
Cr2 Cr 0.0000 0.5000 0.2049
In1 In 0.0000 0.5000 0.7245
Tc1 Tc 0.0000 0.0000 0.4395
# - Electronic total energy: -7.685 eV/atom
# - Total magnetization: 0.000 μB per formula unit
# - ΔH_f (0 K): 0.402 eV per atom

=====

(2)
# Cr2InTc PBE relaxed
data_Cr2InTc
_chemical_formula_sum 'Cr4 In2 Tc2'
_cell_length_a 3.0486
_cell_length_b 4.4554
_cell_length_c 8.7208
_cell_angle_alpha 90.00
_cell_angle_beta 90.00
_cell_angle_gamma 90.00
_space_group_name_H-M_alt 'I m m 2'
_space_group_IT_number 44
_space_group_name_Hall 'I 2 -2'
loop_
_atom_site_label
_atom_site_type_symbol
_atom_site_fract_x
_atom_site_fract_y
_atom_site_fract_z
Cr1 Cr 0.0000 0.0000 0.0000
Cr2 Cr 0.0000 0.5000 0.2822
In1 In 0.0000 0.0000 0.5129
Tc1 Tc 0.0000 0.5000 0.7387
# - Electronic total energy: -7.800 eV/atom
# - Total magnetization: 0.168 μB per formula unit
# - ΔH_f (0 K): 0.287 eV per atom